Entry from Alexandria via LeMat-Bulk: an optimized crystal structure of Sr2HoPaBi4 (PBE).

## Properties
Formation energy from the elements = -0.686 eV per atom
VASP energy = -38.45 eV for the cell shown
Total moment = 0.15 μB per cell
Space-group type = P2/m, No. 10

Lattice parameters (Å, degrees): 4.637 7.936 8.189 108.95 90.00 90.00
Each line ends with the local moment (μB).
Sites, in units of the cell vectors:
Sr (0.500, 0.000, 0.500)  0.00
Sr (0.000, 0.500, 0.500)  0.00
Ho (0.500, 0.500, 0.000)  -0.01
Pa (0.000, 0.000, 0.000)  0.21
Bi (0.500, 0.237, 0.222)  -0.01
Bi (0.500, 0.763, 0.778)  -0.01
Bi (0.000, 0.253, 0.777)  -0.01
Bi (0.000, 0.747, 0.223)  -0.01

Entry from Alexandria via LeMat-Bulk: an optimized crystal structure of HoPaBiTe (PBE).

## Properties
VASP energy = -23.41 eV for the cell shown
Total moment = 1.68 μB per cell
Space-group type = F-43m, No. 216

Lattice parameters (Å, degrees): 5.369 5.369 5.369 60.00 60.00 60.00
Each line ends with the local moment (μB).
Sites, in units of the cell vectors:
Pa (0.750, 0.750, 0.750)  1.06
Te (0.000, 0.000, 0.000)  -0.04
Bi (0.500, 0.500, 0.500)  -0.05
Ho (0.250, 0.250, 0.250)  0.31

Entry from Alexandria via LeMat-Bulk: an optimized crystal structure of HoTm2PaBi4 (PBE).

## Properties
Formation energy from the elements = -0.604 eV per atom
VASP energy = -43.37 eV for the cell shown
Total moment = 1.09 μB per cell
Space-group type = P2/m, No. 10

Lattice parameters (Å, degrees): 4.443 7.715 7.710 109.26 90.00 90.00
Each line ends with the local moment (μB).
Sites, in units of the cell vectors:
Ho (0.500, 0.500, 0.000)  0.00
Tm (0.500, 0.000, 0.500)  0.00
Tm (0.000, 0.500, 0.500)  0.00
Pa (0.000, 0.000, 0.000)  0.98
Bi (0.500, 0.253, 0.255)  -0.02
Bi (0.500, 0.747, 0.745)  -0.02
Bi (0.000, 0.250, 0.747)  -0.01
Bi (0.000, 0.750, 0.253)  -0.01

Entry from Alexandria via LeMat-Bulk: an optimized crystal structure of HoBiPb2 (PBE).

## Properties
Formation energy from the elements = -0.277 eV per atom
VASP energy = -16.99 eV for the cell shown
Total moment = 0.00 μB per cell
Space-group type = P4/mmm, No. 123

Lattice parameters (Å, degrees): 5.037 4.841 4.841 90.00 90.00 90.00
Sites, in units of the cell vectors:
Pb (0.000, 0.000, 0.500)
Pb (0.000, 0.500, 0.000)
Bi (0.500, 0.000, 0.000)
Ho (0.500, 0.500, 0.500)

Entry from Alexandria via LeMat-Bulk: an optimized crystal structure of Ho5Bi2Pb2 (PBE).

## Properties
Formation energy from the elements = -0.651 eV per atom
VASP energy = -87.86 eV for the cell shown
Total moment = 0.03 μB per cell
Space-group type = Cmce, No. 64

Lattice parameters (Å, degrees): 8.292 8.265 8.825 117.92 90.00 90.00
Sites, in units of the cell vectors:
Ho (0.000, 0.000, 0.000)
Ho (0.500, 0.500, 0.000)
Ho (0.839, 0.795, 0.266)
Ho (0.161, 0.471, 0.266)
Ho (0.339, 0.971, 0.266)
Ho (0.661, 0.295, 0.266)
Ho (0.161, 0.205, 0.734)
Ho (0.839, 0.529, 0.734)
Ho (0.661, 0.029, 0.734)
Ho (0.339, 0.705, 0.734)
Bi (0.000, 0.203, 0.406)
Bi (0.500, 0.703, 0.406)
Bi (0.000, 0.797, 0.594)
Bi (0.500, 0.297, 0.594)
Pb (0.642, 0.858, 0.000)
Pb (0.358, 0.142, 0.000)
Pb (0.142, 0.642, 0.000)
Pb (0.858, 0.358, 0.000)

Entry from Alexandria via LeMat-Bulk: an optimized crystal structure of Ho7Bi2Pb2 (PBE).

## Properties
Formation energy from the elements = -0.155 eV per atom
VASP energy = -48.93 eV for the cell shown
Total moment = 2.11 μB per cell
Space-group type = Cmmm, No. 65

Lattice parameters (Å, degrees): 7.091 7.344 7.091 90.00 101.68 90.00
Each line ends with the local moment (μB).
Sites, in units of the cell vectors:
Ho (0.000, 0.279, 0.500)  0.20
Ho (0.500, 0.721, 0.000)  0.20
Ho (0.000, 0.721, 0.500)  0.20
Ho (0.500, 0.279, 0.000)  0.20
Ho (0.000, 0.000, 0.000)  0.12
Ho (0.500, 0.730, 0.500)  0.31
Ho (0.500, 0.270, 0.500)  0.31
Bi (0.719, 0.000, 0.281)  -0.01
Bi (0.281, 0.000, 0.719)  -0.01
Pb (0.816, 0.500, 0.816)  -0.01
Pb (0.184, 0.500, 0.184)  -0.01